1.
Ni2SbH: relaxed, PBE-GGA.

## Properties
Mass density (Mg/m³): 7.9
Energy relative to the lowest polymorph listed for this composition (meV per atom): 418.3
Volume (Å³ per cell): 201

Structure (CIF):
```
data_Ni2SbH
_symmetry_space_group_name_H-M 'F m -3 m'
_symmetry_Int_Tables_number 225
_symmetry_space_group_name_Hall '-F 4 2 3'
_cell_length_a 5.860
_cell_length_b 5.860
_cell_length_c 5.860
_cell_angle_alpha 90.00
_cell_angle_beta 90.00
_cell_angle_gamma 90.00
loop_
_atom_site_label
_atom_site_fract_x
_atom_site_fract_y
_atom_site_fract_z
Ni1 0.250 0.250 0.250
Sb1 0.000 0.000 0.000
H1 0.000 0.000 0.500
```

***

2.
Ac2NpAgSe5: relaxed, PBE-GGA.

## Properties
Mass density (Mg/m³): 7.9
E_form (uncorrected) (kJ per mole of atoms): -139.99
Volume (Å³ per cell): 1000

Structure (CIF):
```
data_Ac2NpAgSe5
_symmetry_space_group_name_H-M 'C m c 21'
_symmetry_Int_Tables_number 36
_cell_length_a 4.316
_cell_length_b 18.056
_cell_length_c 12.828
_cell_angle_alpha 90.00
_cell_angle_beta 90.00
_cell_angle_gamma 90.00
loop_
_symmetry_equiv_pos_as_xyz
'x,y,z'
'-x,-y,z+1/2'
'-x,y,z'
'x,-y,z+1/2'
'x+1/2,y+1/2,z'
'-x+1/2,-y+1/2,z+1/2'
'-x+1/2,y+1/2,z'
'x+1/2,-y+1/2,z+1/2'
loop_
_atom_site_label
_atom_site_fract_x
_atom_site_fract_y
_atom_site_fract_z
Ac1 0.000 0.113 0.000
Ac2 0.000 0.125 0.622
Np1 0.000 0.195 0.322
Ag1 0.000 0.447 0.769
Se1 0.000 0.046 0.382
Se2 0.000 0.291 0.976
Se3 0.000 0.306 0.664
Se4 0.000 0.358 0.315
Se5 0.000 0.498 0.082
```

***

3.
Pm6Er3Tm: relaxed, PBE-GGA.

## Properties
Mass density (Mg/m³): 7.7
Energy relative to the lowest polymorph listed for this composition (meV per atom): 0.0
Volume (Å³ per cell): 1327

Structure (CIF):
```
data_Pm6Er3Tm
_symmetry_space_group_name_H-M 'C m c 21'
_symmetry_Int_Tables_number 36
_cell_length_a 10.980
_cell_length_b 19.255
_cell_length_c 6.277
_cell_angle_alpha 90.00
_cell_angle_beta 90.00
_cell_angle_gamma 90.00
loop_
_symmetry_equiv_pos_as_xyz
'x,y,z'
'-x,-y,z+1/2'
'-x,y,z'
'x,-y,z+1/2'
'x+1/2,y+1/2,z'
'-x+1/2,-y+1/2,z+1/2'
'-x+1/2,y+1/2,z'
'x+1/2,-y+1/2,z+1/2'
loop_
_atom_site_label
_atom_site_fract_x
_atom_site_fract_y
_atom_site_fract_z
Pm1 0.000 0.039 0.000
Pm2 0.000 0.279 0.257
Pm3 0.169 0.456 0.364
Pm4 0.231 0.288 0.556
Er1 0.000 0.387 0.832
Er2 0.166 0.112 0.438
Tm1 0.000 0.197 0.791
```

***

4.
SiRu2N: relaxed, PBE-GGA.

## Properties
Mass density (Mg/m³): 8.7
Energy relative to the lowest polymorph listed for this composition (meV per atom): 414.0
E_form (uncorrected) (kJ per mole of atoms): 53.60
Volume (Å³ per cell): 187

Structure (CIF):
```
data_SiRu2N
_symmetry_space_group_name_H-M 'F m -3 m'
_symmetry_Int_Tables_number 225
_symmetry_space_group_name_Hall '-F 4 2 3'
_cell_length_a 5.716
_cell_length_b 5.716
_cell_length_c 5.716
_cell_angle_alpha 90.00
_cell_angle_beta 90.00
_cell_angle_gamma 90.00
loop_
_atom_site_label
_atom_site_fract_x
_atom_site_fract_y
_atom_site_fract_z
Si1 0.000 0.000 0.000
Ru1 0.250 0.250 0.250
N1 0.000 0.000 0.500
```

***

5.
MgBSe2N: relaxed, PBE-GGA.

## Properties
Mass density (Mg/m³): 3.4
Energy relative to the lowest polymorph listed for this composition (meV per atom): 1622.7
E_form (uncorrected) (kJ per mole of atoms): 151.81
Volume (Å³ per cell): 100

Structure (CIF):
```
data_MgBSe2N
_symmetry_space_group_name_H-M 'P 4/m m m'
_symmetry_Int_Tables_number 123
_symmetry_space_group_name_Hall '-P 4 2'
_cell_length_a 5.096
_cell_length_b 5.096
_cell_length_c 3.856
_cell_angle_alpha 90.00
_cell_angle_beta 90.00
_cell_angle_gamma 90.00
loop_
_atom_site_label
_atom_site_fract_x
_atom_site_fract_y
_atom_site_fract_z
Mg1 0.000 0.000 0.000
B1 0.500 0.500 0.500
Se1 0.000 0.500 0.000
N1 0.000 0.000 0.500
```

***

6.
Er2Ga3Cu2: relaxed, PBE-GGA.

## Properties
Mass density (Mg/m³): 8.8
Energy relative to the lowest polymorph listed for this composition (meV per atom): 16.8
Volume (Å³ per cell): 254

Structure (CIF):
```
data_Er2Ga3Cu2
_symmetry_space_group_name_H-M 'C 1 2/m 1'
_symmetry_Int_Tables_number 12
_cell_length_a 10.202
_cell_length_b 4.178
_cell_length_c 6.560
_cell_angle_alpha 90.00
_cell_angle_beta 114.70
_cell_angle_gamma 90.00
loop_
_symmetry_equiv_pos_as_xyz
'x,y,z'
'-x,-y,-z'
'-x,y,-z'
'x,-y,z'
'x+1/2,y+1/2,z'
'-x+1/2,-y+1/2,-z'
'-x+1/2,y+1/2,-z'
'x+1/2,-y+1/2,z'
loop_
_atom_site_label
_atom_site_fract_x
_atom_site_fract_y
_atom_site_fract_z
Er1 0.149 0.000 0.278
Ga1 0.000 0.500 0.500
Ga2 0.108 0.500 0.937
Cu1 0.144 0.000 0.738
```